Entry 1:
Computed, not measured: MgZrBr2 after structural relaxation at the PBE-GGA level of DFT.

The space group is R-3m (No. 166, hexagonal axes) and the conventional cell measures 3.5506, 3.5506 and 27.0986 Å, with angles of 90.00, 90.00 and 120.00 degrees. Symmetry generates all atoms from Mg at (0.0000, 0.0000, 0.0000), Zr at (0.0000, 0.0000, 0.5000) and Br at (0.0000, 0.0000, 0.3947).

The calculation puts the relative energy among the computed polymorphs at 318 meV per atom. The value obtained for the formation energy without anion corrections is -0.42 eV per atom. Its uncorrected energy is -3.791 eV per atom. The calculation puts the calculated volume at 296 Å³/cell.


Entry 2:
Computed, not measured: Nd2In3Pd7 after structural relaxation at the PBE-GGA level of DFT.

The space group is P2/m (No. 10) and the conventional cell measures 4.9821, 4.6659 and 11.3033 Å, with angles of 90.00, 102.69 and 90.00 degrees. Symmetry generates all atoms from Nd at (0.1536, 0.0000, 0.3063), In at (0.0000, 0.0000, 0.0000), In at (0.3631, 0.5000, 0.7270), Pd at (0.0694, 0.5000, 0.1377), Pd at (0.2879, 0.0000, 0.5757), Pd at (0.4316, 0.0000, 0.8643) and Pd at (0.5000, 0.5000, 0.0000).

The formation enthalpy at 0 K comes out at -0.50 eV/atom. Its uncorrected energy is -5.004 eV per atom. The calculation puts the calculated volume at 256 Å³/cell.


Entry 3:
Computed, not measured: CaMg after structural relaxation at the PBE-GGA level of DFT.

The space group is F-43m (No. 216) and the conventional cell measures 7.4661, 7.4661 and 7.4661 Å, with angles of 90.00, 90.00 and 90.00 degrees. Symmetry generates all atoms from Ca at (0.0000, 0.0000, 0.0000) and Mg at (0.2500, 0.2500, 0.2500).

The formation enthalpy at 0 K comes out at 0.75 eV/atom. Its uncorrected energy is -1.045 eV per atom. The calculation puts the calculated volume at 416 Å³/cell.


Entry 4:
Computed, not measured: PmNd3Ho7 after structural relaxation at the PBE-GGA level of DFT.

The space group is P-1 (No. 2) and the conventional cell measures 6.5315, 6.6654 and 8.6443 Å, with angles of 98.89, 98.81 and 95.02 degrees. Symmetry generates all atoms from Pm at (0.0000, 0.0000, 0.0000), Nd at (0.2988, 0.4364, 0.3398), Nd at (0.5000, 0.0000, 0.5000), Ho at (0.0000, 0.5000, 0.0000), Ho at (0.0573, 0.2073, 0.6435), Ho at (0.2275, 0.7222, 0.7161) and Ho at (0.4861, 0.2360, 0.9150).

The calculation puts the relative energy among the computed polymorphs at 0 meV per atom. The formation enthalpy at 0 K comes out at 0.12 eV/atom. Its uncorrected energy is -4.524 eV per atom. The calculation puts the calculated volume at 365 Å³/cell.


Entry 5:
Computed, not measured: Li2RuF8 after structural relaxation at the PBE-GGA level of DFT.

The space group is P-1 (No. 2) and the conventional cell measures 5.1705, 5.2374 and 5.7331 Å, with angles of 116.87, 108.26 and 90.67 degrees. Symmetry generates all atoms from Li at (0.1733, 0.2304, 0.4556), Ru at (0.5000, 0.0000, 0.0000), F at (0.1916, 0.6505, 0.7377), F at (0.1970, 0.0854, 0.7360), F at (0.3420, 0.8921, 0.2196) and F at (0.3485, 0.3303, 0.2184).

The value obtained for the formation energy without anion corrections is -1.88 eV per atom. Its uncorrected energy is -4.434 eV per atom. The calculation puts the calculated volume at 129 Å³/cell.


Entry 6:
Computed, not measured: Ce2YMn after structural relaxation at the PBE-GGA level of DFT.

The space group is P4/mmm (No. 123) and the conventional cell measures 3.3303, 3.3303 and 8.9887 Å, with angles of 90.00, 90.00 and 90.00 degrees. Symmetry generates all atoms from Ce at (0.0000, 0.0000, 0.1849), Y at (0.5000, 0.5000, 0.5000) and Mn at (0.5000, 0.5000, 0.0000).

The calculation puts the relative energy among the computed polymorphs at 0 meV per atom. The formation enthalpy at 0 K comes out at 0.23 eV/atom. Its uncorrected energy is -6.647 eV per atom. The calculation puts the calculated volume at 100 Å³/cell.


- What is the calculated volume in the first record?
  296 Å³/cell


- calculated volume of number 6 (Ce2YMn)?
  100 Å³/cell